# LiCa2InGe2

An optimized crystal structure of LiCa2InGe2 (PBE-GGA, the Alexandria database).

Output
As for the size of the total moment: 0.0000 μB per atom. The calculation puts the electronic total energy at -85.4 eV for the cell shown. The calculation puts the density at 4210 kg/m³. The formation energy from the elements comes out at -0.576 eV per atom. The density of states at the Fermi level is 1.5 states/eV per cell. The value obtained for the volume is 22.83 A^3/atom.

a = 7.257 Å, b = 4.460 Å, c = 16.925 Å
α = 90.00°, β = 90.00°, γ = 90.00°
Space group Pnma (No. 62)
Inequivalent atoms, fractional coordinates:
Li 0.011 0.250 0.067
Ca 0.011 0.250 0.780
Ca 0.157 0.250 0.563
In 0.158 0.250 0.347
Ge 0.227 0.250 0.938
Ge 0.227 0.750 0.686